[1]
Computed, not measured: a geometry-optimized SbAs3 structure at the PBEsol level of DFT.

- Uncorrected energy: -4.612 eV per atom
- ρ: 7074 kg/m³
- Raw formation energy: 0.357 eV per atom
- Total moment: 0.0 μB per cell

Lattice parameters (Å, degrees): 3.0805 3.0805 9.1713 90.00 90.00 110.84
Positions (direct):
Sb 0.5000 0.5000 0.5000
As 0.0000 0.0000 0.2282
As 0.5000 0.5000 0.0000
As 0.0000 0.0000 0.7718



[2]
Computed, not measured: a geometry-optimized SbAs structure at the PBEsol level of DFT.

- Uncorrected energy: -4.611 eV per atom
- ρ: 7233 kg/m³
- Raw formation energy: 0.221 eV per atom
- Total moment: 0.0 μB per cell

Lattice parameters (Å, degrees): 3.5787 4.8066 6.0451 113.43 107.22 90.00
Positions (direct):
Sb 0.0965 0.8465 0.1931
Sb 0.9035 0.1535 0.8069
As 0.6568 0.4068 0.3136
As 0.3432 0.5932 0.6864



[3]
Computed, not measured: a geometry-optimized SbAs structure at the PBEsol level of DFT.

- Uncorrected energy: -4.809 eV per atom
- ρ: 6807 kg/m³
- Raw formation energy: 0.023 eV per atom
- Total moment: 0.0 μB per cell

Lattice parameters (Å, degrees): 4.0788 4.0788 4.0788 60.00 60.00 60.00
Positions (direct):
Sb 0.5000 0.5000 0.5000
As 0.0000 0.0000 0.0000



[4]
Computed, not measured: a geometry-optimized SbAs3 structure at the PBEsol level of DFT.

- Uncorrected energy: -4.948 eV per atom
- ρ: 6257 kg/m³
- Raw formation energy: 0.021 eV per atom
- Total moment: 0.0 μB per cell

Lattice parameters (Å, degrees): 4.1983 7.7994 16.8524 90.00 90.00 90.00
Positions (direct):
As 0.0348 0.7426 0.1666
As 0.0348 0.7426 0.8334
As 0.0346 0.7426 0.5000
As 0.9654 0.7574 0.0000
As 0.9652 0.7574 0.6666
As 0.9652 0.7574 0.3334
As 0.5713 0.0000 0.0000
As 0.5712 0.0000 0.6667
As 0.5712 0.0000 0.3333
As 0.0348 0.2574 0.1666
As 0.0348 0.2574 0.8334
As 0.0346 0.2574 0.5000
As 0.9654 0.2426 0.0000
As 0.9652 0.2426 0.6666
As 0.9652 0.2426 0.3334
As 0.4287 0.5000 0.5000
As 0.4288 0.5000 0.1667
As 0.4288 0.5000 0.8333
Sb 0.4610 0.0000 0.5000
Sb 0.4612 0.0000 0.1667
Sb 0.4612 0.0000 0.8333
Sb 0.5390 0.5000 0.0000
Sb 0.5388 0.5000 0.6667
Sb 0.5388 0.5000 0.3333



[5]
Computed, not measured: a geometry-optimized SbAs3 structure at the PBEsol level of DFT.

- Uncorrected energy: -4.901 eV per atom
- ρ: 6435 kg/m³
- Raw formation energy: 0.069 eV per atom
- Total moment: 0.0 μB per cell

Lattice parameters (Å, degrees): 3.8779 4.1116 6.2375 107.95 108.11 90.00
Positions (direct):
Sb 0.0000 0.0000 0.0000
As 0.5000 0.5000 0.0000
As 0.2557 0.3011 0.5115
As 0.7443 0.6989 0.4885



[6]
Computed, not measured: a geometry-optimized SbAs2 structure at the PBEsol level of DFT.

- Uncorrected energy: -4.891 eV per atom
- ρ: 6299 kg/m³
- Raw formation energy: 0.033 eV per atom
- Total moment: 0.0 μB per cell

Lattice parameters (Å, degrees): 3.9933 5.8212 6.8649 109.39 106.91 90.00
Positions (direct):
Sb 0.1667 0.9474 0.3333
Sb 0.8333 0.0526 0.6667
As 0.1564 0.4069 0.3128
As 0.8436 0.5931 0.6872
As 0.4778 0.6925 0.9555
As 0.5222 0.3075 0.0445



[7]
Computed, not measured: a geometry-optimized Sb5As structure at the PBEsol level of DFT.

- Uncorrected energy: -4.132 eV per atom
- ρ: 6731 kg/m³
- Raw formation energy: 0.516 eV per atom
- Total moment: 0.0 μB per cell

Lattice parameters (Å, degrees): 5.6931 5.8491 5.8491 120.00 90.00 90.00
Positions (direct):
Sb 0.0000 0.6667 0.3333
Sb 0.0000 0.3333 0.6667
Sb 0.5000 0.5000 0.5000
Sb 0.5000 0.0000 0.5000
Sb 0.5000 0.5000 0.0000
As 0.0000 0.0000 0.0000



[8]
Computed, not measured: a geometry-optimized ScSbAs2 structure at the PBEsol level of DFT.

- Uncorrected energy: -5.750 eV per atom
- ρ: 6493 kg/m³
- Raw formation energy: -0.406 eV per atom
- Total moment: 0.0 μB per cell

Lattice parameters (Å, degrees): 3.6296 4.7704 4.7704 101.46 90.00 90.00
Positions (direct):
As 0.0000 0.5000 0.0000
As 0.0000 0.0000 0.5000
Sb 0.5000 0.0000 0.0000
Sc 0.5000 0.5000 0.5000



[9]
Computed, not measured: a geometry-optimized ScSbAs2 structure at the PBEsol level of DFT.

- Uncorrected energy: -5.668 eV per atom
- ρ: 6452 kg/m³
- Raw formation energy: -0.324 eV per atom
- Total moment: 0.0 μB per cell

Lattice parameters (Å, degrees): 4.1160 4.1160 5.6211 111.48 111.48 90.00
Positions (direct):
As 0.7500 0.2500 0.5000
As 0.2500 0.7500 0.5000
Sb 0.5000 0.5000 0.0000
Sc 0.0000 0.0000 0.0000



[10]
Computed, not measured: a geometry-optimized ScSbAs2 structure at the PBEsol level of DFT.

- Uncorrected energy: -5.714 eV per atom
- ρ: 5858 kg/m³
- Raw formation energy: -0.370 eV per atom
- Total moment: 0.0 μB per cell

Lattice parameters (Å, degrees): 4.3898 4.9235 4.9235 107.48 106.04 106.04
Positions (direct):
As 0.0000 0.0000 0.5000
As 0.0000 0.5000 0.0000
Sb 0.5000 0.5000 0.5000
Sc 0.5000 0.0000 0.0000



[11]
Computed, not measured: a geometry-optimized ScSbAs2 structure at the PBEsol level of DFT.

- Uncorrected energy: -5.704 eV per atom
- ρ: 6097 kg/m³
- Raw formation energy: -0.360 eV per atom
- Total moment: 0.0 μB per cell

Lattice parameters (Å, degrees): 3.4287 5.1302 5.2128 93.70 90.00 109.52
Positions (direct):
As 0.7275 0.4549 0.6753
As 0.2725 0.5451 0.3247
Sb 0.5000 0.0000 0.0000
Sc 0.0000 0.0000 0.5000



[12]
Computed, not measured: a geometry-optimized ScSbAs3 structure at the PBEsol level of DFT.

- Uncorrected energy: -4.988 eV per atom
- ρ: 5166 kg/m³
- Raw formation energy: 0.309 eV per atom
- Total moment: 0.0 μB per cell

Lattice parameters (Å, degrees): 5.0111 5.0111 5.0111 90.00 90.00 90.00
Positions (direct):
Sc 0.0000 0.0000 0.0000
Sb 0.5000 0.5000 0.5000
As 0.0000 0.5000 0.0000
As 0.0000 0.0000 0.5000
As 0.5000 0.0000 0.0000